## one
Density functional theory data (PBE) for RbGeSe after structural relaxation.

POSCAR file:
```
RbGeSe
1.0
-2.467 2.467 4.638
2.467 -2.467 4.638
2.467 2.467 -4.638
Rb Ge Se
1 1 1
Cartesian
0.000 0.000 0.000 Rb
0.000 0.000 3.383 Ge
0.000 0.000 5.673 Se
```

The space group is I4mm, No. 107. The calculation puts the size of the total moment at 0.00 μB per formula unit. The density is 3486 kg/m³.

## two
Density functional theory data (PBE) for RbGeSe after structural relaxation.

POSCAR file:
```
RbGeSe
1.0
9.461 -3.034 0.000
9.461 3.034 0.000
-0.645 0.000 3.888
Rb Ge Se
2 2 2
Cartesian
0.000 0.000 0.000 Rb
13.493 0.000 2.338 Rb
4.546 0.000 0.574 Ge
6.249 0.000 3.513 Ge
2.490 0.000 2.389 Se
8.273 0.000 1.747 Se
```

The space group is Cm, No. 8. The calculation puts the size of the total moment at 0.00 μB per formula unit. The density is 3527 kg/m³.

two is preferred energetically. Next in line: 202 meV per atom higher.